{
  "formula": "Zr2PCl",
  "functional": "GGA-PBE",
  "state": "relaxed",
  "final_energy_ev_per_atom": -5.922,
  "formation_energy_uncorrected_mev_per_atom": 166,
  "density_g_cm3": 5.3,
  "sg": "F-43m",
  "m_tot_mub_per_fu": 1.9,
  "cell": [[4.810, 0.000, 0.000], [2.405, 4.165, 0.000], [2.405, 1.388, 3.927]],
  "species": ["P", "Cl", "Zr", "Zr"],
  "fractional_positions": [[0.750, 0.750, 0.750], [0.500, 0.500, 0.500], [0.000, 0.000, 0.000], [0.250, 0.250, 0.250]]
}

{
  "formula": "ZrPCl",
  "functional": "GGA-PBE",
  "state": "relaxed",
  "final_energy_ev_per_atom": -6.122,
  "formation_energy_uncorrected_mev_per_atom": -854,
  "density_g_cm3": 3.6,
  "sg": "Fmm2",
  "relative_energy_ev_per_atom": 0.485,
  "m_tot_mub_per_fu": 0.0,
  "cell": [[-0.438, -3.170, -6.744], [2.714, -3.370, -5.905], [-1.017, -3.055, 0.553]],
  "species": ["Cl", "P", "Zr"],
  "fractional_positions": [[0.044, 0.044, 0.956], [0.280, 0.280, 0.720], [0.676, 0.676, 0.324]]
}

{
  "formula": "ZrPCl2",
  "functional": "GGA-PBE",
  "state": "relaxed",
  "final_energy_ev_per_atom": -4.957,
  "formation_energy_uncorrected_mev_per_atom": -544,
  "density_g_cm3": 3.1,
  "sg": "R-3m",
  "relative_energy_ev_per_atom": 0.489,
  "m_tot_mub_per_fu": 0.0,
  "cell": [[8.929, 6.002, 5.260], [10.114, 5.979, 2.318], [8.076, 8.248, 3.189]],
  "species": ["Cl", "Cl", "P", "Zr"],
  "fractional_positions": [[0.114, 0.114, 0.114], [0.886, 0.886, 0.886], [0.000, 0.000, 0.000], [0.500, 0.500, 0.500]]
}

{
  "formula": "Zr2PCl",
  "functional": "GGA-PBE",
  "state": "relaxed",
  "final_energy_ev_per_atom": -7.165,
  "formation_energy_uncorrected_mev_per_atom": -1077,
  "density_g_cm3": 5.5,
  "sg": "Imm2",
  "m_tot_mub_per_fu": 0.0,
  "cell": [[6.540, -0.001, 0.000], [4.644, 4.605, 0.000], [-5.583, -2.324, 2.490]],
  "species": ["Zr", "Zr", "P", "Cl"],
  "fractional_positions": [[0.785, 0.285, 0.500], [0.048, 0.048, 0.000], [0.208, 0.708, 0.500], [0.459, 0.459, 0.000]]
}

{
  "formula": "ZrP2Cl",
  "functional": "GGA-PBE",
  "state": "relaxed",
  "final_energy_ev_per_atom": -5.388,
  "formation_energy_uncorrected_mev_per_atom": -84,
  "density_g_cm3": 3.7,
  "sg": "R-3m",
  "relative_energy_ev_per_atom": 0.771,
  "m_tot_mub_per_fu": 0.0,
  "cell": [[-4.886, -2.984, -5.322], [-6.032, -4.430, -2.256], [-7.057, -1.125, -3.169]],
  "species": ["Cl", "P", "P", "Zr"],
  "fractional_positions": [[0.750, 0.750, 0.750], [0.987, 0.987, 0.987], [0.513, 0.513, 0.513], [0.250, 0.250, 0.250]]
}

{
  "formula": "ZrPCl",
  "functional": "GGA-PBE",
  "state": "relaxed",
  "final_energy_ev_per_atom": -6.376,
  "formation_energy_uncorrected_mev_per_atom": -1107,
  "density_g_cm3": 3.4,
  "sg": "P-3m1",
  "relative_energy_ev_per_atom": 0.231,
  "m_tot_mub_per_fu": 0.0,
  "cell": [[1.854, -3.211, 0.000], [1.854, 3.211, 0.000], [0.000, 0.000, 13.031]],
  "species": ["Zr", "Zr", "Cl", "Cl", "P", "P"],
  "fractional_positions": [[0.000, 0.000, 0.782], [0.000, 0.000, 0.218], [0.333, 0.667, 0.351], [0.667, 0.333, 0.649], [0.667, 0.333, 0.115], [0.333, 0.667, 0.885]]
}

{
  "formula": "ZrPCl2",
  "functional": "GGA-PBE",
  "state": "relaxed",
  "final_energy_ev_per_atom": -4.709,
  "formation_energy_uncorrected_mev_per_atom": -296,
  "density_g_cm3": 4.4,
  "sg": "Pmmm",
  "relative_energy_ev_per_atom": 0.737,
  "m_tot_mub_per_fu": 0.0,
  "cell": [[3.195, 0.000, 0.000], [0.000, 5.087, 0.000], [0.000, 0.000, 4.515]],
  "species": ["Cl", "Cl", "P", "Zr"],
  "fractional_positions": [[0.500, 0.500, 0.000], [0.000, 0.000, 0.000], [0.500, 0.000, 0.500], [0.000, 0.500, 0.500]]
}

{
  "formula": "ZrPCl2",
  "functional": "GGA-PBE",
  "state": "relaxed",
  "final_energy_ev_per_atom": -5.313,
  "formation_energy_uncorrected_mev_per_atom": -901,
  "density_g_cm3": 3.1,
  "sg": "C2/m",
  "relative_energy_ev_per_atom": 0.133,
  "m_tot_mub_per_fu": 0.4,
  "cell": [[-1.352, 5.038, 5.702], [-1.889, 1.994, 7.223], [3.755, 0.036, 1.400]],
  "species": ["Cl", "Cl", "Zr", "P"],
  "fractional_positions": [[0.110, 0.110, 0.940], [0.390, 0.390, 0.560], [0.750, 0.750, 0.750], [0.250, 0.250, 0.250]]
}

{
  "formula": "ZrPCl2",
  "functional": "GGA-PBE",
  "state": "relaxed",
  "final_energy_ev_per_atom": -4.353,
  "formation_energy_uncorrected_mev_per_atom": 60,
  "density_g_cm3": 3.6,
  "sg": "R-3m",
  "relative_energy_ev_per_atom": 1.093,
  "m_tot_mub_per_fu": 0.0,
  "cell": [[1.891, 0.000, 9.467], [-0.946, 1.638, 9.467], [-0.946, -1.638, 9.467]],
  "species": ["Cl", "Cl", "Zr", "P"],
  "fractional_positions": [[0.085, 0.085, 0.085], [0.915, 0.915, 0.915], [0.000, 0.000, 0.000], [0.500, 0.500, 0.500]]
}

{
  "formula": "ZrP2Cl",
  "functional": "GGA-PBE",
  "state": "relaxed",
  "final_energy_ev_per_atom": -5.126,
  "formation_energy_uncorrected_mev_per_atom": 178,
  "density_g_cm3": 4.3,
  "sg": "Fm-3m",
  "relative_energy_ev_per_atom": 1.033,
  "m_tot_mub_per_fu": 0.0,
  "cell": [[-2.459, -2.481, -3.124], [-4.203, 1.518, -1.412], [-0.562, 1.621, -4.361]],
  "species": ["P", "P", "Cl", "Zr"],
  "fractional_positions": [[0.250, 0.250, 0.250], [0.750, 0.750, 0.750], [0.000, 0.000, 0.000], [0.500, 0.500, 0.500]]
}

{
  "formula": "ZrP2Cl",
  "functional": "GGA-PBE",
  "state": "relaxed",
  "final_energy_ev_per_atom": -5.368,
  "formation_energy_uncorrected_mev_per_atom": -64,
  "density_g_cm3": 4.5,
  "sg": "F-43m",
  "relative_energy_ev_per_atom": 0.791,
  "m_tot_mub_per_fu": 0.0,
  "cell": [[-2.490, -3.259, -2.136], [2.091, -3.747, -1.726], [-0.619, -4.122, 2.004]],
  "species": ["P", "P", "Cl", "Zr"],
  "fractional_positions": [[0.750, 0.750, 0.750], [0.000, 0.000, 0.000], [0.500, 0.500, 0.500], [0.250, 0.250, 0.250]]
}

{
  "formula": "ZrPCl2",
  "functional": "GGA-PBE",
  "state": "relaxed",
  "final_energy_ev_per_atom": -5.296,
  "formation_energy_uncorrected_mev_per_atom": -883,
  "density_g_cm3": 3.0,
  "sg": "Immm",
  "relative_energy_ev_per_atom": 0.150,
  "m_tot_mub_per_fu": 0.0,
  "cell": [[-0.263, 7.338, -3.467], [-4.397, 4.366, -5.249], [1.406, -4.585, 6.553]],
  "species": ["Cl", "Cl", "Zr", "P"],
  "fractional_positions": [[0.390, 0.390, 0.000], [0.110, 0.110, 0.000], [0.250, 0.750, 0.500], [0.750, 0.250, 0.500]]
}